Here is a PBEsol-optimized structure of CaZn2RhBr from the Alexandria database. Energies are from meta-GGA SCAN.

Results
ΔE_f (raw) = -11.2 kcal/mol of atoms
Energy = -18.47 eV/atom
Space-group type = P4/mmm (123)

a b c (Å): 4.700 4.700 5.439
angles (deg): 90.00 90.00 90.00
Atoms (fractional coordinates):
1 Rh 0.000 0.000 0.000
2 Ca 0.000 0.000 0.500
3 Zn 0.500 0.000 0.000
4 Zn 0.000 0.500 0.000
5 Br 0.500 0.500 0.500

---

Here is a PBEsol-optimized structure of Ca3RuBr from the Alexandria database. Energies are from meta-GGA SCAN.

Results
ΔE_f (raw) = 4.6 kcal/mol of atoms
Energy = -16.46 eV/atom
Space-group type = Pm-3m (221)

a b c (Å): 5.304 5.304 5.304
angles (deg): 90.00 90.00 90.00
Atoms (fractional coordinates):
1 Ca 0.000 0.000 0.500
2 Ca 0.000 0.500 0.000
3 Ca 0.500 0.000 0.000
4 Ru 0.500 0.500 0.500
5 Br 0.000 0.000 0.000